Below is NaPuScO6 after structural relaxation, with properties calculated at the PBE level.

Computed properties:
Its total energy is -8.099 eV/atom. The uncorrected formation energy is -226.9 kJ per mole of atoms. The volume is 13.6 A^3/atom.

Geometry as CIF:
```
data_NaPuScO6
_chemical_formula_sum 'Na2 Pu2 Sc2 O12'
_symmetry_space_group_name_H-M 'P 1'
_symmetry_Int_Tables_number 1
_symmetry_space_group_name_Hall 'P 1'
_cell_length_a 4.993
_cell_length_b 4.993
_cell_length_c 9.846
_cell_angle_alpha 90.00
_cell_angle_beta 90.00
_cell_angle_gamma 90.00
loop_
_atom_site_label
_atom_site_type_symbol
_atom_site_fract_x
_atom_site_fract_y
_atom_site_fract_z
Na1 Na 0.500 0.500 0.502
Na2 Na 0.000 0.000 0.002
Pu1 Pu 0.500 0.500 0.167
Pu2 Pu 0.000 0.000 0.667
Sc1 Sc 0.500 0.500 0.834
Sc2 Sc 0.000 0.000 0.334
O1 O 0.174 0.826 0.509
O2 O 0.826 0.174 0.509
O3 O 0.326 0.326 0.009
O4 O 0.674 0.674 0.009
O5 O 0.222 0.778 0.182
O6 O 0.778 0.222 0.182
O7 O 0.278 0.278 0.682
O8 O 0.722 0.722 0.682
O9 O 0.798 0.202 0.808
O10 O 0.202 0.798 0.808
O11 O 0.702 0.702 0.308
O12 O 0.298 0.298 0.308
```



Below is Na2PuScO6 after structural relaxation, with properties calculated at the PBE level.

Computed properties:
Its total energy is -7.802 eV/atom. The uncorrected formation energy is -240.9 kJ per mole of atoms. The volume is 13.1 A^3/atom.

Geometry as CIF:
```
data_Na2PuScO6
_chemical_formula_sum 'Na2 Pu1 Sc1 O6'
_symmetry_space_group_name_H-M 'P 1'
_symmetry_Int_Tables_number 1
_symmetry_space_group_name_Hall 'P 1'
_cell_length_a 5.685
_cell_length_b 5.685
_cell_length_c 5.729
_cell_angle_alpha 60.25
_cell_angle_beta 60.26
_cell_angle_gamma 60.00
loop_
_atom_site_label
_atom_site_type_symbol
_atom_site_fract_x
_atom_site_fract_y
_atom_site_fract_z
Na1 Na 0.563 0.563 0.311
Na2 Na 0.068 0.068 0.795
Pu1 Pu 0.316 0.316 0.051
Sc1 Sc 0.816 0.816 0.551
O1 O 0.558 0.150 0.297
O2 O 0.150 0.996 0.297
O3 O 0.996 0.558 0.297
O4 O 0.483 0.637 0.805
O5 O 0.637 0.075 0.805
O6 O 0.075 0.483 0.805
```



Below is NaPuSc4O8 after structural relaxation, with properties calculated at the PBE level.

Computed properties:
Its total energy is -8.896 eV/atom. The uncorrected formation energy is -302.5 kJ per mole of atoms. The volume is 13.4 A^3/atom.

Geometry as CIF:
```
data_NaPuSc4O8
_chemical_formula_sum 'Na1 Pu1 Sc4 O8'
_symmetry_space_group_name_H-M 'P 1'
_symmetry_Int_Tables_number 1
_symmetry_space_group_name_Hall 'P 1'
_cell_length_a 6.401
_cell_length_b 6.401
_cell_length_c 6.466
_cell_angle_alpha 60.33
_cell_angle_beta 60.33
_cell_angle_gamma 60.00
loop_
_atom_site_label
_atom_site_type_symbol
_atom_site_fract_x
_atom_site_fract_y
_atom_site_fract_z
Na1 Na 0.999 0.999 0.003
Pu1 Pu 0.378 0.378 0.865
Sc1 Sc 0.620 0.620 0.139
Sc2 Sc 0.001 0.500 0.499
Sc3 Sc 0.500 0.001 0.499
Sc4 Sc 0.001 0.001 0.499
O1 O 0.250 0.791 0.709
O2 O 0.791 0.250 0.709
O3 O 0.250 0.250 0.709
O4 O 0.236 0.236 0.291
O5 O 0.741 0.235 0.283
O6 O 0.235 0.741 0.283
O7 O 0.741 0.741 0.283
O8 O 0.757 0.757 0.729
```



Below is Na3PuSc3O8 after structural relaxation, with properties calculated at the PBE level.

Computed properties:
Its total energy is -7.931 eV/atom. The uncorrected formation energy is -270.3 kJ per mole of atoms. The volume is 13.6 A^3/atom.

Geometry as CIF:
```
data_Na3PuSc3O8
_chemical_formula_sum 'Na3 Pu1 Sc3 O8'
_symmetry_space_group_name_H-M 'P 1'
_symmetry_Int_Tables_number 1
_symmetry_space_group_name_Hall 'P 1'
_cell_length_a 6.505
_cell_length_b 6.505
_cell_length_c 6.726
_cell_angle_alpha 118.90
_cell_angle_beta 90.00
_cell_angle_gamma 120.00
loop_
_atom_site_label
_atom_site_type_symbol
_atom_site_fract_x
_atom_site_fract_y
_atom_site_fract_z
Na1 Na 0.000 0.000 0.000
Na2 Na 0.000 0.500 0.000
Na3 Na 0.500 0.500 0.000
Pu1 Pu 0.000 0.000 0.500
Sc1 Sc 0.500 0.000 0.500
Sc2 Sc 0.500 0.500 0.500
Sc3 Sc 0.000 0.500 0.500
O1 O 0.267 0.533 0.300
O2 O 0.733 0.467 0.700
O3 O 0.766 0.532 0.304
O4 O 0.234 0.468 0.696
O5 O 0.766 0.038 0.304
O6 O 0.234 0.962 0.696
O7 O 0.273 0.038 0.304
O8 O 0.727 0.962 0.696
```



Below is Na3PuSc2O6 after structural relaxation, with properties calculated at the PBE level.

Computed properties:
Its total energy is -7.711 eV/atom. The uncorrected formation energy is -255.9 kJ per mole of atoms. The volume is 13.1 A^3/atom.

Geometry as CIF:
```
data_Na3PuSc2O6
_chemical_formula_sum 'Na3 Pu1 Sc2 O6'
_symmetry_space_group_name_H-M 'P 1'
_symmetry_Int_Tables_number 1
_symmetry_space_group_name_Hall 'P 1'
_cell_length_a 5.722
_cell_length_b 5.722
_cell_length_c 5.853
_cell_angle_alpha 99.31
_cell_angle_beta 99.31
_cell_angle_gamma 120.05
loop_
_atom_site_label
_atom_site_type_symbol
_atom_site_fract_x
_atom_site_fract_y
_atom_site_fract_z
Na1 Na 0.172 0.828 0.500
Na2 Na 0.828 0.172 0.500
Na3 Na 0.500 0.500 0.500
Pu1 Pu 0.000 0.000 0.000
Sc1 Sc 0.333 0.667 0.000
Sc2 Sc 0.667 0.333 0.000
O1 O 0.932 0.579 0.794
O2 O 0.716 0.716 0.208
O3 O 0.068 0.421 0.206
O4 O 0.579 0.932 0.794
O5 O 0.284 0.284 0.792
O6 O 0.421 0.068 0.206
```



Below is NaPuSeO5 after structural relaxation, with properties calculated at the PBE level.

Computed properties:
Its total energy is -7.280 eV/atom. The uncorrected formation energy is -172.7 kJ per mole of atoms. The volume is 18.4 A^3/atom.

Geometry as CIF:
```
data_NaPuSeO5
_chemical_formula_sum 'Na2 Pu2 Se2 O10'
_symmetry_space_group_name_H-M 'P 1'
_symmetry_Int_Tables_number 1
_symmetry_space_group_name_Hall 'P 1'
_cell_length_a 6.316
_cell_length_b 6.316
_cell_length_c 8.250
_cell_angle_alpha 101.34
_cell_angle_beta 101.34
_cell_angle_gamma 108.42
loop_
_atom_site_label
_atom_site_type_symbol
_atom_site_fract_x
_atom_site_fract_y
_atom_site_fract_z
Na1 Na 0.323 0.677 0.250
Na2 Na 0.677 0.323 0.750
Pu1 Pu 0.000 0.000 0.500
Pu2 Pu 0.000 0.000 0.000
Se1 Se 0.629 0.371 0.250
Se2 Se 0.371 0.629 0.750
O1 O 0.957 0.043 0.250
O2 O 0.043 0.957 0.750
O3 O 0.855 0.206 0.966
O4 O 0.145 0.794 0.034
O5 O 0.794 0.145 0.534
O6 O 0.206 0.855 0.466
O7 O 0.679 0.636 0.385
O8 O 0.321 0.364 0.615
O9 O 0.364 0.321 0.115
O10 O 0.636 0.679 0.885
```



Below is Na2PuSeO5 after structural relaxation, with properties calculated at the PBE level.

Computed properties:
Its total energy is -6.282 eV/atom. The uncorrected formation energy is -121.1 kJ per mole of atoms. The volume is 12.2 A^3/atom.

Geometry as CIF:
```
data_Na2PuSeO5
_chemical_formula_sum 'Na4 Pu2 Se2 O10'
_symmetry_space_group_name_H-M 'P 1'
_symmetry_Int_Tables_number 1
_symmetry_space_group_name_Hall 'P 1'
_cell_length_a 6.046
_cell_length_b 6.035
_cell_length_c 6.035
_cell_angle_alpha 90.00
_cell_angle_beta 90.00
_cell_angle_gamma 90.00
loop_
_atom_site_label
_atom_site_type_symbol
_atom_site_fract_x
_atom_site_fract_y
_atom_site_fract_z
Na1 Na 0.500 0.658 0.158
Na2 Na 0.500 0.158 0.342
Na3 Na 0.500 0.842 0.658
Na4 Na 0.500 0.342 0.842
Pu1 Pu 0.000 0.500 0.500
Pu2 Pu 0.000 0.000 0.000
Se1 Se 0.000 0.000 0.500
Se2 Se 0.000 0.500 0.000
O1 O 0.500 0.500 0.500
O2 O 0.500 0.000 0.000
O3 O 0.209 0.169 0.669
O4 O 0.209 0.831 0.331
O5 O 0.209 0.331 0.169
O6 O 0.209 0.669 0.831
O7 O 0.791 0.169 0.669
O8 O 0.791 0.669 0.831
O9 O 0.791 0.831 0.331
O10 O 0.791 0.331 0.169
```



Below is NaPuSeO after structural relaxation, with properties calculated at the PBE level.

Computed properties:
Its total energy is -7.860 eV/atom. The uncorrected formation energy is -177.2 kJ per mole of atoms. The volume is 20.2 A^3/atom.

Geometry as CIF:
```
data_NaPuSeO
_chemical_formula_sum 'Na1 Pu1 Se1 O1'
_symmetry_space_group_name_H-M 'P 1'
_symmetry_Int_Tables_number 1
_symmetry_space_group_name_Hall 'P 1'
_cell_length_a 3.791
_cell_length_b 3.791
_cell_length_c 6.866
_cell_angle_alpha 73.97
_cell_angle_beta 73.97
_cell_angle_gamma 60.00
loop_
_atom_site_label
_atom_site_type_symbol
_atom_site_fract_x
_atom_site_fract_y
_atom_site_fract_z
Na1 Na 0.504 0.504 0.487
Pu1 Pu 0.981 0.981 0.056
Se1 Se 0.745 0.745 0.765
O1 O 0.269 0.269 0.192
```